Entry 1:
Entry from Alexandria via LeMat-Bulk: CePa2Re after structural relaxation (PBE-GGA).

## Properties
SG: Fm-3m (225)
Energy of formation: 15.98 kJ/mol of atoms
Spin magnetization: 0.002 μB per atom
Total DFT energy (no corrections): -36.71 eV/cell
Polymorph energy (0 for the lowest one): 0.119 eV per atom
ρ: 14.98 g cm⁻³
DOS at the Fermi energy: 3.0807 states/eV per atom

Unit cell a=4.9812 b=4.9812 c=4.9812 alpha=60.00 beta=60.00 gamma=60.00
Atoms (fractional coordinates):
Re1 0.0000 0.0000 0.0000
Pa1 0.2500 0.2500 0.2500
Pa2 0.7500 0.7500 0.7500
Ce1 0.5000 0.5000 0.5000



Entry 2:
Entry from Alexandria via LeMat-Bulk: CePaRe after structural relaxation (PBE-GGA).

## Properties
SG: I4mm (107)
Energy of formation: -1.85 kJ/mol of atoms
Spin magnetization: 0.000 μB per atom
Total DFT energy (no corrections): -27.94 eV/cell
Polymorph energy (0 for the lowest one): 0.000 eV per atom
ρ: 14.37 g cm⁻³
DOS at the Fermi energy: 1.5216 states/eV per atom

Unit cell a=3.5056 b=3.5056 c=5.7977 alpha=107.60 beta=107.60 gamma=90.00
Atoms (fractional coordinates):
Re1 0.3222 0.3222 0.6443
Pa1 0.6758 0.6758 0.3517
Ce1 0.0020 0.0020 0.0040



Entry 3:
Entry from Alexandria via LeMat-Bulk: CePa2Re after structural relaxation (PBE-GGA).

## Properties
SG: R-3m (166)
Energy of formation: 20.67 kJ/mol of atoms
Spin magnetization: 0.000 μB per atom
Total DFT energy (no corrections): -36.52 eV/cell
Polymorph energy (0 for the lowest one): 0.167 eV per atom
ρ: 14.69 g cm⁻³
DOS at the Fermi energy: 1.4586 states/eV per atom

Unit cell a=3.1003 b=3.1003 c=10.8547 alpha=81.79 beta=81.79 gamma=60.00
Atoms (fractional coordinates):
Re1 0.5000 0.5000 0.5000
Pa1 0.0942 0.0942 0.7175
Pa2 0.9058 0.9058 0.2825
Ce1 0.0000 0.0000 0.0000



Q: Number 2 is which compound?
A: CePaRe



Q: What is the spin magnetization in the third record?
A: 0.000 μB per atom



Q: The lowest ρ belongs to which entry?
A: CePaRe